#one
Here is ZnReI2O after structural relaxation from Alexandria via LeMat-Bulk. Energies are from PBE.

Calculated values
DOS(E_F)   6.0 states/eV per cell
Space group   P4/mmm (123)
Total moment   0.846 μB per atom

Unit cell a=5.740 b=5.740 c=3.583 alpha=90.00 beta=90.00 gamma=90.00
Site moments in Bohr magnetons follow the coordinates.
Fractional positions:
O: 0.000 0.000 0.500  0.17
I: 0.000 0.500 0.000  0.01
I: 0.500 0.000 0.000  0.01
Zn: 0.000 0.000 0.000  0.03
Re: 0.500 0.500 0.500  3.30

#two
Here is ZnReI2O after structural relaxation from Alexandria via LeMat-Bulk. Energies are from PBE.

Calculated values
DOS(E_F)   4.4 states/eV per cell
Space group   P4/mmm (123)
Total moment   0.000 μB per atom

Unit cell a=5.631 b=5.631 c=3.774 alpha=90.00 beta=90.00 gamma=90.00
Fractional positions:
O: 0.000 0.000 0.500
Re: 0.000 0.000 0.000
Zn: 0.500 0.500 0.500
I: 0.000 0.500 0.000
I: 0.500 0.000 0.000

Name the least stable of them. #one.

#one
Here is RhI2O2 after structural relaxation from Alexandria via LeMat-Bulk. Energies are from PBE.

Calculated values
DOS(E_F)   4.1 states/eV per cell
Space group   P4/mmm (123)
Total moment   0.431 μB per atom

Unit cell a=4.146 b=4.146 c=5.832 alpha=90.00 beta=90.00 gamma=90.00
Site moments in Bohr magnetons follow the coordinates.
Fractional positions:
Rh: 0.000 0.000 0.000  0.97
O: 0.500 0.000 0.000  0.46
O: 0.000 0.500 0.000  0.46
I: 0.000 0.000 0.500  0.03
I: 0.500 0.500 0.500  0.01

#two
Here is RhI2O2 after structural relaxation from Alexandria via LeMat-Bulk. Energies are from PBE.

Calculated values
DOS(E_F)   3.9 states/eV per cell
Space group   P4/mmm (123)
Total moment   0.000 μB per atom

Unit cell a=4.902 b=4.902 c=3.572 alpha=90.00 beta=90.00 gamma=90.00
Fractional positions:
O: 0.000 0.000 0.500
I: 0.000 0.500 0.000
I: 0.500 0.000 0.000
O: 0.000 0.000 0.000
Rh: 0.500 0.500 0.500

Name the least stable of them. #two.

#one
Here is RhI2O2 after structural relaxation from Alexandria via LeMat-Bulk. Energies are from PBE.

Calculated values
DOS(E_F)   7.2 states/eV per cell
Space group   P4/mmm (123)
Total moment   0.017 μB per atom

Unit cell a=5.531 b=5.531 c=3.684 alpha=90.00 beta=90.00 gamma=90.00
Site moments in Bohr magnetons follow the coordinates.
Fractional positions:
O: 0.000 0.000 0.500  0.00
I: 0.000 0.500 0.000  -0.06
Rh: 0.000 0.000 0.000  0.01
I: 0.500 0.000 0.000  -0.06
O: 0.500 0.500 0.500  0.06

#two
Here is RhI2O2 after structural relaxation from Alexandria via LeMat-Bulk. Energies are from PBE.

Calculated values
DOS(E_F)   6.4 states/eV per cell
Space group   P4/mmm (123)
Total moment   0.219 μB per atom

Unit cell a=3.995 b=3.995 c=7.917 alpha=90.00 beta=90.00 gamma=90.00
Site moments in Bohr magnetons follow the coordinates.
Fractional positions:
Rh: 0.500 0.500 0.500  0.95
O: 0.000 0.500 0.000  -0.02
I: 0.000 0.000 0.500  0.06
O: 0.500 0.000 0.000  -0.02
I: 0.000 0.000 0.000  -0.03

Name the least stable of them. #one.

#one
Here is Rh3IO after structural relaxation from Alexandria via LeMat-Bulk. Energies are from PBE.

Calculated values
DOS(E_F)   8.4 states/eV per cell
Space group   Pm-3m (221)
Total moment   0.549 μB per atom

Unit cell a=4.892 b=4.892 c=4.892 alpha=90.00 beta=90.00 gamma=90.00
Site moments in Bohr magnetons follow the coordinates.
Fractional positions:
Rh: 0.000 0.500 0.000  0.56
I: 0.000 0.000 0.000  0.00
Rh: 0.000 0.000 0.500  0.44
O: 0.500 0.500 0.500  1.12
Rh: 0.500 0.000 0.000  0.43

#two
Here is Rh3IO after structural relaxation from Alexandria via LeMat-Bulk. Energies are from PBE.

Calculated values
DOS(E_F)   8.1 states/eV per cell
Space group   Pm-3m (221)
Total moment   0.329 μB per atom

Unit cell a=4.288 b=4.288 c=4.288 alpha=90.00 beta=90.00 gamma=90.00
Site moments in Bohr magnetons follow the coordinates.
Fractional positions:
O: 0.000 0.000 0.000  0.03
Rh: 0.000 0.000 0.500  0.49
I: 0.500 0.500 0.500  0.05
Rh: 0.000 0.500 0.000  0.61
Rh: 0.500 0.000 0.000  0.46

Name the least stable of them. #one.

#one
Here is RhSI2O after structural relaxation from Alexandria via LeMat-Bulk. Energies are from PBE.

Calculated values
DOS(E_F)   4.7 states/eV per cell
Space group   P4/mmm (123)
Total moment   0.080 μB per atom

Unit cell a=5.475 b=5.475 c=3.504 alpha=90.00 beta=90.00 gamma=90.00
Site moments in Bohr magnetons follow the coordinates.
Fractional positions:
I: 0.500 0.000 0.000  0.02
I: 0.000 0.500 0.000  0.02
S: 0.000 0.000 0.000  0.00
Rh: 0.500 0.500 0.500  0.34
O: 0.000 0.000 0.500  0.00

#two
Here is RhSI2O after structural relaxation from Alexandria via LeMat-Bulk. Energies are from PBE.

Calculated values
DOS(E_F)   5.2 states/eV per cell
Space group   P4/mmm (123)
Total moment   0.091 μB per atom

Unit cell a=5.571 b=5.571 c=3.722 alpha=90.00 beta=90.00 gamma=90.00
Site moments in Bohr magnetons follow the coordinates.
Fractional positions:
S: 0.500 0.500 0.500  0.21
O: 0.000 0.000 0.500  0.00
I: 0.000 0.500 0.000  0.05
I: 0.500 0.000 0.000  0.05
Rh: 0.000 0.000 0.000  -0.01

Name the least stable of them. #one.

#one
Here is SbRhIO2 after structural relaxation from Alexandria via LeMat-Bulk. Energies are from PBE.

Calculated values
DOS(E_F)   3.5 states/eV per cell
Space group   P4/mmm (123)
Total moment   0.083 μB per atom

Unit cell a=4.183 b=5.252 c=4.183 alpha=90.00 beta=90.00 gamma=90.00
Site moments in Bohr magnetons follow the coordinates.
Fractional positions:
Rh: 0.000 0.000 0.000  0.32
O: 0.500 0.000 0.000  0.20
Sb: 0.500 0.500 0.500  -0.09
O: 0.000 0.000 0.500  0.06
I: 0.000 0.500 0.000  -0.01

#two
Here is SbRhIO2 after structural relaxation from Alexandria via LeMat-Bulk. Energies are from PBE.

Calculated values
DOS(E_F)   2.6 states/eV per cell
Space group   P4/mmm (123)
Total moment   0.211 μB per atom

Unit cell a=3.959 b=3.959 c=6.553 alpha=90.00 beta=90.00 gamma=90.00
Site moments in Bohr magnetons follow the coordinates.
Fractional positions:
Rh: 0.500 0.500 0.500  0.86
O: 0.500 0.000 0.000  0.01
Sb: 0.000 0.000 0.000  0.00
I: 0.000 0.000 0.500  0.02
O: 0.000 0.500 0.000  0.01

Name the least stable of them. #one.

#one
Here is ScRhIO2 after structural relaxation from Alexandria via LeMat-Bulk. Energies are from PBE.

Calculated values
DOS(E_F)   5.5 states/eV per cell
Space group   P4/mmm (123)
Total moment   0.227 μB per atom

Unit cell a=3.981 b=3.981 c=6.369 alpha=90.00 beta=90.00 gamma=90.00
Site moments in Bohr magnetons follow the coordinates.
Fractional positions:
Sc: 0.000 0.000 0.000  0.01
I: 0.000 0.000 0.500  0.04
O: 0.000 0.500 0.000  -0.06
Rh: 0.500 0.500 0.500  1.07
O: 0.500 0.000 0.000  -0.06

#two
Here is ScRhIO2 after structural relaxation from Alexandria via LeMat-Bulk. Energies are from PBE.

Calculated values
DOS(E_F)   5.0 states/eV per cell
Space group   P4/mmm (123)
Total moment   0.201 μB per atom

Unit cell a=4.089 b=4.089 c=5.214 alpha=90.00 beta=90.00 gamma=90.00
Site moments in Bohr magnetons follow the coordinates.
Fractional positions:
I: 0.000 0.000 0.500  0.01
Sc: 0.500 0.500 0.500  -0.07
O: 0.500 0.000 0.000  0.18
O: 0.000 0.500 0.000  0.18
Rh: 0.000 0.000 0.000  0.64

Name the least stable of them. #two.

#one
Here is SnRhI2O after structural relaxation from Alexandria via LeMat-Bulk. Energies are from PBE.

Calculated values
DOS(E_F)   5.9 states/eV per cell
Space group   P4/mmm (123)
Total moment   0.356 μB per atom

Unit cell a=5.963 b=5.963 c=3.969 alpha=90.00 beta=90.00 gamma=90.00
Site moments in Bohr magnetons follow the coordinates.
Fractional positions:
I: 0.000 0.500 0.000  0.07
Rh: 0.500 0.500 0.500  1.49
I: 0.500 0.000 0.000  0.07
O: 0.000 0.000 0.500  0.00
Sn: 0.000 0.000 0.000  0.00

#two
Here is SnRhI2O after structural relaxation from Alexandria via LeMat-Bulk. Energies are from PBE.

Calculated values
DOS(E_F)   2.0 states/eV per cell
Space group   P4/mmm (123)
Total moment   0.000 μB per atom

Unit cell a=5.764 b=5.764 c=3.791 alpha=90.00 beta=90.00 gamma=90.00
Fractional positions:
O: 0.000 0.000 0.500
I: 0.500 0.000 0.000
I: 0.000 0.500 0.000
Sn: 0.500 0.500 0.500
Rh: 0.000 0.000 0.000

Name the least stable of them. #one.

#one
Here is SrRhI2O after structural relaxation from Alexandria via LeMat-Bulk. Energies are from PBE.

Calculated values
DOS(E_F)   2.8 states/eV per cell
Space group   P4/mmm (123)
Total moment   0.070 μB per atom

Unit cell a=5.747 b=5.747 c=3.925 alpha=90.00 beta=90.00 gamma=90.00
Site moments in Bohr magnetons follow the coordinates.
Fractional positions:
I: 0.000 0.500 0.000  0.00
Sr: 0.500 0.500 0.500  0.00
O: 0.000 0.000 0.500  0.12
I: 0.500 0.000 0.000  0.00
Rh: 0.000 0.000 0.000  0.21

#two
Here is SrRhI2O after structural relaxation from Alexandria via LeMat-Bulk. Energies are from PBE.

Calculated values
DOS(E_F)   4.8 states/eV per cell
Space group   P4/mmm (123)
Total moment   0.465 μB per atom

Unit cell a=6.352 b=6.352 c=4.232 alpha=90.00 beta=90.00 gamma=90.00
Site moments in Bohr magnetons follow the coordinates.
Fractional positions:
Sr: 0.000 0.000 0.000  0.00
Rh: 0.500 0.500 0.500  1.74
I: 0.000 0.500 0.000  0.13
O: 0.000 0.000 0.500  0.04
I: 0.500 0.000 0.000  0.13

Name the least stable of them. #two.

#one
Here is Te2RhIO after structural relaxation from Alexandria via LeMat-Bulk. Energies are from PBE.

Calculated values
DOS(E_F)   10.5 states/eV per cell
Space group   P4/mmm (123)
Total moment   0.000 μB per atom

Unit cell a=5.125 b=5.125 c=5.447 alpha=90.00 beta=90.00 gamma=90.00
Fractional positions:
Rh: 0.000 0.000 0.000
O: 0.500 0.500 0.500
Te: 0.000 0.500 0.000
Te: 0.500 0.000 0.000
I: 0.000 0.000 0.500

#two
Here is Te2RhIO after structural relaxation from Alexandria via LeMat-Bulk. Energies are from PBE.

Calculated values
DOS(E_F)   6.6 states/eV per cell
Space group   P4/mmm (123)
Total moment   0.299 μB per atom

Unit cell a=4.390 b=4.390 c=6.573 alpha=90.00 beta=90.00 gamma=90.00
Site moments in Bohr magnetons follow the coordinates.
Fractional positions:
I: 0.000 0.000 0.500  0.05
Te: 0.000 0.500 0.000  0.08
Te: 0.500 0.000 0.000  0.08
O: 0.000 0.000 0.000  0.02
Rh: 0.500 0.500 0.500  1.06

Name the least stable of them. #one.

#one
Here is TeRhI2O after structural relaxation from Alexandria via LeMat-Bulk. Energies are from PBE.

Calculated values
DOS(E_F)   7.6 states/eV per cell
Space group   P4/mmm (123)
Total moment   0.341 μB per atom

Unit cell a=6.034 b=6.034 c=4.008 alpha=90.00 beta=90.00 gamma=90.00
Site moments in Bohr magnetons follow the coordinates.
Fractional positions:
Te: 0.000 0.000 0.000  0.00
Rh: 0.500 0.500 0.500  1.44
O: 0.000 0.000 0.500  0.00
I: 0.000 0.500 0.000  0.07
I: 0.500 0.000 0.000  0.07

#two
Here is TeRhI2O after structural relaxation from Alexandria via LeMat-Bulk. Energies are from PBE.

Calculated values
DOS(E_F)   12.3 states/eV per cell
Space group   P4/mmm (123)
Total moment   0.000 μB per atom

Unit cell a=5.430 b=5.430 c=5.039 alpha=90.00 beta=90.00 gamma=90.00
Fractional positions:
I: 0.000 0.500 0.000
Rh: 0.000 0.000 0.000
I: 0.500 0.000 0.000
O: 0.500 0.500 0.500
Te: 0.000 0.000 0.500

#three
Here is TeRhI2O after structural relaxation from Alexandria via LeMat-Bulk. Energies are from PBE.

Calculated values
DOS(E_F)   4.7 states/eV per cell
Space group   P4/mmm (123)
Total moment   0.389 μB per atom

Unit cell a=5.172 b=5.172 c=4.488 alpha=90.00 beta=90.00 gamma=90.00
Site moments in Bohr magnetons follow the coordinates.
Fractional positions:
Te: 0.000 0.000 0.500  0.11
I: 0.000 0.500 0.000  0.11
I: 0.500 0.000 0.000  0.11
O: 0.000 0.000 0.000  0.02
Rh: 0.500 0.500 0.500  1.40

Name the least stable of them. #two.

#one
Here is TiRhIO2 after structural relaxation from Alexandria via LeMat-Bulk. Energies are from PBE.

Calculated values
DOS(E_F)   6.2 states/eV per cell
Space group   P4/mmm (123)
Total moment   0.000 μB per atom

Unit cell a=3.857 b=3.857 c=6.271 alpha=90.00 beta=90.00 gamma=90.00
Fractional positions:
O: 0.500 0.000 0.000
Ti: 0.500 0.500 0.500
Rh: 0.000 0.000 0.000
O: 0.000 0.500 0.000
I: 0.000 0.000 0.500

#two
Here is TiRhIO2 after structural relaxation from Alexandria via LeMat-Bulk. Energies are from PBE.

Calculated values
DOS(E_F)   3.1 states/eV per cell
Space group   P4/mmm (123)
Total moment   0.142 μB per atom

Unit cell a=3.802 b=3.802 c=6.100 alpha=90.00 beta=90.00 gamma=90.00
Site moments in Bohr magnetons follow the coordinates.
Fractional positions:
O: 0.500 0.000 0.000  0.05
O: 0.000 0.500 0.000  0.05
Rh: 0.500 0.500 0.500  0.55
Ti: 0.000 0.000 0.000  -0.03
I: 0.000 0.000 0.500  0.00

Name the least stable of them. #one.

#one
Here is TlRhIO2 after structural relaxation from Alexandria via LeMat-Bulk. Energies are from PBE.

Calculated values
DOS(E_F)   4.7 states/eV per cell
Space group   P4/mmm (123)
Total moment   0.371 μB per atom

Unit cell a=4.082 b=4.082 c=7.000 alpha=90.00 beta=90.00 gamma=90.00
Site moments in Bohr magnetons follow the coordinates.
Fractional positions:
Tl: 0.000 0.000 0.000  -0.01
Rh: 0.500 0.500 0.500  1.20
O: 0.500 0.000 0.000  0.19
O: 0.000 0.500 0.000  0.19
I: 0.000 0.000 0.500  0.05

#two
Here is TlRhIO2 after structural relaxation from Alexandria via LeMat-Bulk. Energies are from PBE.

Calculated values
DOS(E_F)   4.8 states/eV per cell
Space group   P4/mmm (123)
Total moment   0.436 μB per atom

Unit cell a=4.214 b=4.214 c=5.543 alpha=90.00 beta=90.00 gamma=90.00
Site moments in Bohr magnetons follow the coordinates.
Fractional positions:
O: 0.000 0.500 0.000  0.42
Tl: 0.500 0.500 0.500  0.01
I: 0.000 0.000 0.500  0.05
O: 0.500 0.000 0.000  0.42
Rh: 0.000 0.000 0.000  1.07

Name the least stable of them. #one.